Record 1
A relaxed CsHfCu2Br8 crystal, computed with GGA-PBE.

Values from the calculation:
The total energy is -43.40 eV for the cell shown. The formation energy without anion corrections is -918 meV per atom.

```
CsHfCu2Br8
1.0
-4.715 -4.668 -0.136
1.448 -6.118 -2.125
1.521 -6.529 9.469
Br Cs Hf Cu
8 1 1 2
direct
0.240 0.852 0.345
0.313 0.313 0.062
0.563 0.240 0.345
0.687 0.687 0.938
0.852 0.563 0.345
0.760 0.437 0.655
0.148 0.760 0.655
0.437 0.148 0.655
0.000 0.000 0.000
0.500 0.500 0.500
0.242 0.242 0.275
0.758 0.758 0.725
```



Record 2
A relaxed Dy4Cd2In5 crystal, computed with GGA-PBE.

Values from the calculation:
The total energy is -37.89 eV for the cell shown. The value obtained for the formation energy is -0.36 eV per atom.

```
Dy4Cd2In5
1.0
3.603 0.000 0.000
0.000 8.385 0.032
0.000 0.133 9.669
Dy In Cd
4 5 2
direct
0.500 0.774 0.134
0.500 0.226 0.866
0.500 0.253 0.376
0.500 0.747 0.624
0.000 0.432 0.646
0.000 0.885 0.876
0.000 0.568 0.354
0.000 0.500 0.000
0.000 0.115 0.124
0.000 0.083 0.623
0.000 0.917 0.377
```



Record 3
A relaxed In4CuI2 crystal, computed with GGA-PBE.

Values from the calculation:
The total energy is -18.95 eV for the cell shown. The formation energy without anion corrections is -115 meV per atom.

```
In4CuI2
1.0
-4.017 2.347 -2.131
-2.525 -4.449 -0.141
-6.655 0.610 7.072
In I Cu
4 2 1
direct
0.500 0.000 0.000
0.847 0.847 0.306
0.000 0.500 0.000
0.153 0.153 0.694
0.661 0.661 0.679
0.339 0.339 0.321
0.000 0.000 0.000
```



Record 4
A relaxed LiHg2Sb2 crystal, computed with GGA-PBE.

Values from the calculation:
The total energy is -10.47 eV for the cell shown. The formation energy without anion corrections is 58 meV per atom. As for the energy above the lowest structure with this stoichiometry: 67.0 meV/atom.

```
LiHg2Sb2
1.0
-2.912 0.888 -3.090
-2.048 -3.727 0.858
-6.699 2.044 3.855
Li Sb Hg
1 2 2
direct
0.000 0.000 0.000
0.596 0.596 0.809
0.404 0.404 0.191
0.250 0.750 0.500
0.750 0.250 0.500
```



Record 5
A relaxed Li6SeS2 crystal, computed with GGA-PBE.

Values from the calculation:
The total energy is -34.97 eV for the cell shown. The formation energy without anion corrections is -1305 meV per atom.

```
Li6SeS2
1.0
4.112 0.000 0.000
0.000 4.112 0.000
-2.056 -2.056 8.749
Li S Se
6 2 1
direct
0.087 0.587 0.175
0.250 0.750 0.500
0.913 0.413 0.825
0.587 0.087 0.175
0.750 0.250 0.500
0.413 0.913 0.825
0.331 0.331 0.662
0.669 0.669 0.338
0.000 0.000 0.000
```



Record 6
A relaxed CeErPtRh crystal, computed with GGA-PBE.

Values from the calculation:
The total energy is -27.59 eV for the cell shown. As for the energy above the lowest structure with this stoichiometry: 116.3 meV/atom. The value obtained for the formation energy is -0.92 eV per atom.

```
CeErPtRh
1.0
-2.998 -1.104 3.762
1.896 -1.317 4.363
-0.341 3.055 3.862
Rh Er Ce Pt
1 1 1 1
direct
0.250 0.250 0.250
0.000 0.000 0.000
0.500 0.500 0.500
0.750 0.750 0.750
```



Record 7
A relaxed Zr4CdHg crystal, computed with GGA-PBE.

Values from the calculation:
The total energy is -33.94 eV for the cell shown. As for the energy above the lowest structure with this stoichiometry: 386.7 meV/atom. The value obtained for the formation energy is 0.24 eV per atom.

```
Zr4CdHg
1.0
-4.121 -3.868 1.254
-2.195 -0.260 5.351
-5.423 1.767 0.994
Zr Cd Hg
4 1 1
direct
0.375 0.375 0.874
0.375 0.375 0.375
0.874 0.375 0.375
0.375 0.874 0.375
0.750 0.750 0.750
0.000 0.000 0.000
```



Record 8
A relaxed HfRu crystal, computed with GGA-PBE.

Values from the calculation:
The total energy is -102.46 eV for the cell shown. The value obtained for the formation energy is 1.08 eV per atom.

```
HfRu
1.0
-1.292 1.019 6.973
6.081 -3.421 1.627
3.561 6.212 -0.248
Hf Ru
6 6
direct
0.250 0.000 0.500
0.000 0.500 0.250
0.500 0.750 0.000
0.750 0.000 0.500
0.000 0.500 0.750
0.500 0.250 0.000
0.750 0.500 0.000
0.500 0.000 0.250
0.000 0.250 0.500
0.000 0.750 0.500
0.250 0.500 0.000
0.500 0.000 0.750
```